Material: RhSe2Br
Method: DFT, PBE
State: relaxed

As for the total energy: -31.533 eV for the cell shown. The density of states at the Fermi level comes out at 0.61 states/eV per atom. The crystal system is orthorhombic. The uncorrected formation energy comes out at 1.31 kcal/mol of atoms.

The space group is Cmmm (No. 65) and the conventional cell measures 4.115, 4.441 and 10.096 Å, with angles of 90.00, 90.00 and 90.00 degrees. The inequivalent atoms are Rh at (0.000, 0.000, 0.000), Se at (0.000, 0.500, 0.158) and Br at (0.000, 0.000, 0.500).